Record 1
Material: NiSb
Method: DFT, PBEsol
State: optimized geometry

Cell lengths 3.196, 3.196, 7.013 Å; angles 90.00, 90.00, 90.00 degrees
Sites, in units of the cell vectors:
Ni 0.250 0.250 0.092
Ni 0.750 0.750 0.908
Sb 0.250 0.250 0.719
Sb 0.750 0.750 0.281

Computed properties:
Symmetry   P4/nmm, No. 129


Record 2
Material: ScNi2Sb
Method: DFT, PBEsol
State: optimized geometry

Cell lengths 3.250, 3.509, 5.515 Å; angles 90.00, 90.00, 90.00 degrees
Sites, in units of the cell vectors:
Sc 0.000 0.000 0.000
Ni 0.000 0.000 0.462
Ni 0.500 0.500 0.200
Sb 0.500 0.500 0.655

Computed properties:
Symmetry   Pmm2, No. 25


Record 3
Material: ScNi2Sb
Method: DFT, PBEsol
State: optimized geometry

Cell lengths 5.044, 5.044, 3.054 Å; angles 105.22, 105.22, 112.08 degrees
Sites, in units of the cell vectors:
Sc 0.000 0.000 0.000
Ni 0.000 0.500 0.500
Ni 0.500 0.000 0.500
Sb 0.500 0.500 0.000

Computed properties:
Symmetry   C2/m, No. 12


Record 4
Material: Sc2NiSb
Method: DFT, PBEsol
State: optimized geometry

Cell lengths 3.942, 5.520, 5.520 Å; angles 40.54, 90.00, 90.00 degrees
Sites, in units of the cell vectors:
Sc 0.000 0.000 0.000
Sc 0.500 0.299 0.299
Ni 0.000 0.749 0.749
Sb 0.500 0.585 0.585

Computed properties:
Symmetry   Amm2, No. 38


Record 5
Material: Sc4NiSb
Method: DFT, PBEsol
State: optimized geometry

Cell lengths 5.587, 5.587, 5.587 Å; angles 60.00, 60.00, 60.00 degrees
Sites, in units of the cell vectors:
Sc 0.125 0.125 0.125
Sc 0.125 0.125 0.625
Sc 0.125 0.625 0.125
Sc 0.625 0.125 0.125
Ni 0.750 0.750 0.750
Sb 0.500 0.500 0.500

Computed properties:
Symmetry   F-43m, No. 216


Record 6
Material: Sc2NiSb
Method: DFT, PBEsol
State: optimized geometry

Cell lengths 3.375, 3.375, 6.629 Å; angles 90.00, 90.00, 93.43 degrees
Sites, in units of the cell vectors:
Sc 0.000 0.000 0.221
Sc 0.000 0.000 0.779
Ni 0.500 0.500 0.000
Sb 0.500 0.500 0.500

Computed properties:
Symmetry   Cmmm, No. 65


Record 7
Material: ScNi2Sb
Method: DFT, PBEsol
State: optimized geometry

Cell lengths 4.095, 4.095, 3.604 Å; angles 90.00, 90.00, 90.00 degrees
Sites, in units of the cell vectors:
Sc 0.000 0.000 0.000
Ni 0.000 0.500 0.500
Ni 0.500 0.000 0.500
Sb 0.500 0.500 0.000

Computed properties:
Symmetry   P4/mmm, No. 123


Record 8
Material: ScNiSb2
Method: DFT, PBEsol
State: optimized geometry

Cell lengths 5.630, 5.630, 5.630 Å; angles 138.86, 138.86, 59.59 degrees
Sites, in units of the cell vectors:
Sc 0.000 0.000 0.000
Ni 0.750 0.250 0.500
Sb 0.250 0.750 0.500
Sb 0.500 0.500 0.000

Computed properties:
Symmetry   I-4m2, No. 119


no.,magnetic moment (μB/atom),E (eV per atom)
1,0.000,-5.429
2,0.000,-6.148
3,0.000,-5.992
4,0.000,-6.667
5,0.000,-5.928
6,0.000,-6.503
7,0.000,-6.334
8,0.000,-5.818